(1)
# Pm2BiF8 GGA-PBE relaxed
# Size of the total moment ... 1.0 μB per formula unit
# Energy relative to the lowest polymorph listed for this composition ... 0.0 meV/atom
# E_form (uncorrected) ... -3.456 eV/atom
data_Pm2BiF8
_chemical_formula_sum 'Pm2 Bi1 F8'
_symmetry_space_group_name_H-M 'P 1'
_symmetry_Int_Tables_number 1
_symmetry_space_group_name_Hall 'P 1'
_cell_length_a 3.746
_cell_length_b 6.134
_cell_length_c 8.608
_cell_angle_alpha 117.80
_cell_angle_beta 102.57
_cell_angle_gamma 90.00
loop_
_atom_site_label
_atom_site_type_symbol
_atom_site_fract_x
_atom_site_fract_y
_atom_site_fract_z
Pm1 Pm 0.187 0.672 0.374
Pm2 Pm 0.813 0.328 0.626
F1 F 0.214 0.086 0.428
F2 F 0.313 0.597 0.627
F3 F 0.951 0.732 0.901
F4 F 0.786 0.914 0.572
F5 F 0.687 0.403 0.373
F6 F 0.394 0.321 0.789
F7 F 0.606 0.679 0.211
F8 F 0.049 0.268 0.099
Bi1 Bi 0.500 0.000 0.000

(2)
# PmBi2F11 GGA-PBE relaxed
# Size of the total moment ... 0.0 μB per formula unit
# E_form (uncorrected) ... -2.630 eV/atom
data_PmBi2F11
_chemical_formula_sum 'Pm2 Bi4 F22'
_symmetry_space_group_name_H-M 'P 1'
_symmetry_Int_Tables_number 1
_symmetry_space_group_name_Hall 'P 1'
_cell_length_a 8.260
_cell_length_b 8.679
_cell_length_c 8.679
_cell_angle_alpha 73.77
_cell_angle_beta 61.58
_cell_angle_gamma 61.58
loop_
_atom_site_label
_atom_site_type_symbol
_atom_site_fract_x
_atom_site_fract_y
_atom_site_fract_z
F1 F 0.868 0.784 0.216
F2 F 0.368 0.716 0.284
F3 F 0.458 0.962 0.321
F4 F 0.412 0.794 0.937
F5 F 0.240 0.538 0.179
F6 F 0.042 0.179 0.538
F7 F 0.357 0.294 0.437
F8 F 0.588 0.206 0.063
F9 F 0.088 0.563 0.706
F10 F 0.912 0.437 0.294
F11 F 0.000 0.000 0.000
F12 F 0.542 0.038 0.679
F13 F 0.958 0.821 0.462
F14 F 0.740 0.679 0.038
F15 F 0.632 0.284 0.716
F16 F 0.857 0.937 0.794
F17 F 0.643 0.706 0.563
F18 F 0.260 0.321 0.962
F19 F 0.132 0.216 0.784
F20 F 0.760 0.462 0.821
F21 F 0.500 0.500 0.500
F22 F 0.143 0.063 0.206
Bi1 Bi 0.143 0.819 0.181
Bi2 Bi 0.643 0.681 0.319
Bi3 Bi 0.857 0.181 0.819
Bi4 Bi 0.357 0.319 0.681
Pm1 Pm 0.250 0.250 0.250
Pm2 Pm 0.750 0.750 0.750

(3)
# Pm2BiF11 GGA-PBE relaxed
# Size of the total moment ... 0.0 μB per formula unit
# E_form (uncorrected) ... -3.059 eV/atom
data_Pm2BiF11
_chemical_formula_sum 'Pm4 Bi2 F22'
_symmetry_space_group_name_H-M 'P 1'
_symmetry_Int_Tables_number 1
_symmetry_space_group_name_Hall 'P 1'
_cell_length_a 8.281
_cell_length_b 8.675
_cell_length_c 8.675
_cell_angle_alpha 74.89
_cell_angle_beta 61.49
_cell_angle_gamma 61.49
loop_
_atom_site_label
_atom_site_type_symbol
_atom_site_fract_x
_atom_site_fract_y
_atom_site_fract_z
F1 F 0.061 0.187 0.511
F2 F 0.843 0.921 0.794
F3 F 0.126 0.220 0.780
F4 F 0.561 0.011 0.687
F5 F 0.343 0.294 0.421
F6 F 0.758 0.489 0.813
F7 F 0.742 0.687 0.011
F8 F 0.242 0.511 0.187
F9 F 0.558 0.206 0.079
F10 F 0.626 0.280 0.720
F11 F 0.058 0.579 0.706
F12 F 0.439 0.989 0.313
F13 F 0.942 0.421 0.294
F14 F 0.374 0.720 0.280
F15 F 0.939 0.813 0.489
F16 F 0.157 0.079 0.206
F17 F 0.258 0.313 0.989
F18 F 0.874 0.780 0.220
F19 F 0.000 0.000 0.000
F20 F 0.500 0.500 0.500
F21 F 0.657 0.706 0.579
F22 F 0.442 0.794 0.921
Pm1 Pm 0.861 0.182 0.818
Pm2 Pm 0.139 0.818 0.182
Pm3 Pm 0.361 0.318 0.682
Pm4 Pm 0.639 0.682 0.318
Bi1 Bi 0.250 0.250 0.250
Bi2 Bi 0.750 0.750 0.750

(4)
# Pm2BiF8 GGA-PBE relaxed
# Size of the total moment ... 0.9 μB per formula unit
# Energy relative to the lowest polymorph listed for this composition ... 84.8 meV/atom
# E_form (uncorrected) ... -3.372 eV/atom
data_Pm2BiF8
_chemical_formula_sum 'Pm2 Bi1 F8'
_symmetry_space_group_name_H-M 'P 1'
_symmetry_Int_Tables_number 1
_symmetry_space_group_name_Hall 'P 1'
_cell_length_a 5.342
_cell_length_b 6.934
_cell_length_c 6.934
_cell_angle_alpha 41.97
_cell_angle_beta 70.95
_cell_angle_gamma 70.95
loop_
_atom_site_label
_atom_site_type_symbol
_atom_site_fract_x
_atom_site_fract_y
_atom_site_fract_z
F1 F 0.531 0.809 0.809
F2 F 0.706 0.525 0.525
F3 F 0.469 0.191 0.191
F4 F 0.964 0.405 0.916
F5 F 0.964 0.916 0.405
F6 F 0.036 0.595 0.084
F7 F 0.294 0.475 0.475
F8 F 0.036 0.084 0.595
Bi1 Bi 0.000 0.000 0.000
Pm1 Pm 0.314 0.675 0.675
Pm2 Pm 0.686 0.325 0.325

(5)
# Pm4Bi2F GGA-PBE relaxed
# Size of the total moment ... 0.0 μB per formula unit
# E_form (uncorrected) ... -1.156 eV/atom
data_Pm4Bi2F
_chemical_formula_sum 'Pm4 Bi2 F1'
_symmetry_space_group_name_H-M 'P 1'
_symmetry_Int_Tables_number 1
_symmetry_space_group_name_Hall 'P 1'
_cell_length_a 4.718
_cell_length_b 4.718
_cell_length_c 9.607
_cell_angle_alpha 104.21
_cell_angle_beta 104.21
_cell_angle_gamma 90.00
loop_
_atom_site_label
_atom_site_type_symbol
_atom_site_fract_x
_atom_site_fract_y
_atom_site_fract_z
Pm1 Pm 0.500 0.000 0.000
Pm2 Pm 0.184 0.184 0.368
Pm3 Pm 0.000 0.500 0.000
Pm4 Pm 0.816 0.816 0.632
Bi1 Bi 0.365 0.365 0.731
Bi2 Bi 0.635 0.635 0.269
F1 F 0.000 0.000 0.000

(6)
# Pr2BiF GGA-PBE relaxed
# Size of the total moment ... 0.0 μB per formula unit
# E_form (uncorrected) ... -1.508 eV/atom
data_Pr2BiF
_chemical_formula_sum 'Pr2 Bi1 F1'
_symmetry_space_group_name_H-M 'P 1'
_symmetry_Int_Tables_number 1
_symmetry_space_group_name_Hall 'P 1'
_cell_length_a 4.245
_cell_length_b 4.245
_cell_length_c 7.317
_cell_angle_alpha 73.14
_cell_angle_beta 73.14
_cell_angle_gamma 60.00
loop_
_atom_site_label
_atom_site_type_symbol
_atom_site_fract_x
_atom_site_fract_y
_atom_site_fract_z
F1 F 0.000 0.000 0.000
Bi1 Bi 0.500 0.500 0.500
Pr1 Pr 0.266 0.266 0.203
Pr2 Pr 0.734 0.734 0.797

(7)
# Pr2BiF11 GGA-PBE relaxed
# Size of the total moment ... 0.0 μB per formula unit
# E_form (uncorrected) ... -3.040 eV/atom
data_Pr2BiF11
_chemical_formula_sum 'Pr4 Bi2 F22'
_symmetry_space_group_name_H-M 'P 1'
_symmetry_Int_Tables_number 1
_symmetry_space_group_name_Hall 'P 1'
_cell_length_a 8.436
_cell_length_b 8.772
_cell_length_c 8.772
_cell_angle_alpha 75.09
_cell_angle_beta 61.26
_cell_angle_gamma 61.26
loop_
_atom_site_label
_atom_site_type_symbol
_atom_site_fract_x
_atom_site_fract_y
_atom_site_fract_z
F1 F 0.661 0.705 0.580
F2 F 0.446 0.795 0.920
F3 F 0.500 0.500 0.500
F4 F 0.125 0.219 0.781
F5 F 0.760 0.492 0.811
F6 F 0.375 0.719 0.281
F7 F 0.839 0.920 0.795
F8 F 0.161 0.080 0.205
F9 F 0.000 0.000 0.000
F10 F 0.240 0.508 0.189
F11 F 0.875 0.781 0.219
F12 F 0.946 0.420 0.295
F13 F 0.625 0.281 0.719
F14 F 0.554 0.205 0.080
F15 F 0.740 0.689 0.008
F16 F 0.054 0.580 0.705
F17 F 0.339 0.295 0.420
F18 F 0.937 0.811 0.492
F19 F 0.437 0.992 0.311
F20 F 0.563 0.008 0.689
F21 F 0.063 0.189 0.508
F22 F 0.260 0.311 0.992
Pr1 Pr 0.360 0.318 0.682
Pr2 Pr 0.140 0.818 0.182
Pr3 Pr 0.640 0.682 0.318
Pr4 Pr 0.860 0.182 0.818
Bi1 Bi 0.250 0.250 0.250
Bi2 Bi 0.750 0.750 0.750

(8)
# Bi2PtF2 GGA-PBE relaxed
# Size of the total moment ... 0.0 μB per formula unit
# Energy relative to the lowest polymorph listed for this composition ... 0.0 meV/atom
# E_form (uncorrected) ... -1.106 eV/atom
data_Bi2PtF2
_chemical_formula_sum 'Bi2 Pt1 F2'
_symmetry_space_group_name_H-M 'P 1'
_symmetry_Int_Tables_number 1
_symmetry_space_group_name_Hall 'P 1'
_cell_length_a 3.611
_cell_length_b 3.611
_cell_length_c 7.449
_cell_angle_alpha 75.97
_cell_angle_beta 75.97
_cell_angle_gamma 90.00
loop_
_atom_site_label
_atom_site_type_symbol
_atom_site_fract_x
_atom_site_fract_y
_atom_site_fract_z
Pt1 Pt 0.000 0.000 0.000
Bi1 Bi 0.623 0.623 0.755
Bi2 Bi 0.377 0.377 0.245
F1 F 0.750 0.250 0.500
F2 F 0.250 0.750 0.500